Material: MnFePd2
Method: DFT, GGA-PBE
State: relaxed

## Properties
The value obtained for the energy relative to the elements is 0.05 eV per atom. Its calculated density is 9.24 g cm⁻³.

a b c (Å): 6.1509 6.1509 6.1509
angles (deg): 90.00 90.00 90.00
Last column: nearest neighbours and their distance in Å.
Space group F-43m (No. 216)
Asymmetric unit:
1 Mn 0.0000 0.0000 0.0000 [4 per cell]  4 Fe 2.66, 4 Pd 2.66
2 Fe 0.2500 0.2500 0.7500 [4 per cell]  4 Mn 2.66, 4 Pd 2.66
3 Pd 0.0000 0.0000 0.5000 [4 per cell]  4 Fe 2.66, 4 Pd 2.66
4 Pd 0.2500 0.2500 0.2500 [4 per cell]  4 Mn 2.66, 4 Pd 2.66

***

Material: MnFePd3
Method: DFT, GGA-PBE
State: relaxed

## Properties
The value obtained for the energy relative to the elements is -0.12 eV per atom. Its calculated density is 9.69 g cm⁻³. The distance to the lowest polymorph of the same formula is 0.00 eV per formula unit.

a b c (Å): 13.4764 4.0319 5.4508
angles (deg): 90.00 95.73 90.00
Last column: nearest neighbours and their distance in Å.
Space group C2/m (No. 12)
Asymmetric unit:
1 Mn 0.1969 0.0000 0.3361 [4 per cell]  8 Pd 2.62-2.76, 2 Fe 2.93
2 Fe 0.0921 0.5000 0.0170 [4 per cell]  1 Fe 2.47, 8 Pd 2.68-2.76
3 Pd 0.0022 0.0000 0.2452 [4 per cell]  1 Mn 2.62, 7 Pd 2.67-2.85, 4 Fe 2.71-2.72
4 Pd 0.1073 0.5000 0.5306 [4 per cell]  3 Mn 2.63-2.67, 2 Fe 2.68-2.79, 7 Pd 2.84-2.88
5 Pd 0.2054 0.0000 0.8447 [4 per cell]  4 Mn 2.65-2.76, 3 Fe 2.75-2.76, 5 Pd 2.79-2.88

***

energy relative to the elements of number 2 (MnFePd3)? -0.12 eV per atom